Ac2HgPd6 (GGA-PBE, optimized geometry); offset from the most stable computed form = 5 meV/atom; electronic total energy = -5.056 eV per atom; SG = No. 12; formation energy from the elements = -562.0 kJ/mol of formula units
1.0
5.087 -2.956 0.000
5.087 2.956 0.000
-1.558 0.000 6.390
Ac Hg Pd
2 1 6
Direct
0.140 0.140 0.317
0.860 0.860 0.683
0.500 0.500 0.500
0.099 0.628 0.171
0.372 0.901 0.829
0.379 0.379 0.827
0.621 0.621 0.173
0.628 0.099 0.171
0.901 0.372 0.829

=====

YCd2In (GGA-PBE, optimized geometry); electronic total energy = -2.961 eV per atom; SG = No. 99; formation energy from the elements = -78.2 kJ/mol of formula units
1.0
3.640 0.000 0.000
0.000 3.640 0.000
0.000 0.000 7.488
Y Cd In
1 2 1
Direct
0.000 0.000 0.000
0.000 0.000 0.487
0.500 0.500 0.268
0.500 0.500 0.724

=====

SmYPt2 (GGA-PBE, optimized geometry); offset from the most stable computed form = 80 meV/atom; electronic total energy = -6.961 eV per atom; SG = No. 225; formation energy from the elements = -441.7 kJ/mol of formula units
1.0
0.000 3.538 3.538
3.538 0.000 3.538
3.538 3.538 0.000
Sm Y Pt
1 1 2
Direct
0.000 0.000 0.000
0.500 0.500 0.500
0.250 0.250 0.250
0.750 0.750 0.750

=====

V2Ga2Hg (GGA-PBE, optimized geometry); offset from the most stable computed form = 179 meV/atom; electronic total energy = -4.647 eV per atom; SG = No. 139; formation energy from the elements = 131.0 kJ/mol of formula units
1.0
-1.886 1.886 5.988
1.886 -1.886 5.988
1.886 1.886 -5.988
V Ga Hg
2 2 1
Direct
0.088 0.088 0.000
0.912 0.912 0.000
0.250 0.750 0.500
0.750 0.250 0.500
0.500 0.500 0.000

=====

Tm2Cu3Ge2 (GGA-PBE, optimized geometry); electronic total energy = -4.532 eV per atom; SG = No. 65; formation energy from the elements = -121.2 kJ/mol of formula units
1.0
1.853 -8.999 0.000
1.853 8.999 0.000
0.000 0.000 3.928
Tm Cu Ge
2 3 2
Direct
0.157 0.843 0.000
0.843 0.157 0.000
0.000 0.000 0.000
0.435 0.565 0.500
0.565 0.435 0.500
0.297 0.703 0.500
0.703 0.297 0.500

=====

K3Tb2HfS6 (GGA-PBE, optimized geometry); electronic total energy = -5.664 eV per atom; SG = No. 12
1.0
3.419 -5.922 0.000
3.419 5.922 0.000
-2.287 0.000 7.388
K Tb Hf S
3 2 1 6
Direct
0.000 0.000 0.000
0.330 0.670 0.000
0.670 0.330 0.000
0.166 0.834 0.500
0.834 0.166 0.500
0.500 0.500 0.500
0.118 0.433 0.299
0.252 0.252 0.702
0.433 0.118 0.299
0.567 0.882 0.701
0.748 0.748 0.298
0.882 0.567 0.701